Material: Pu2Pa3Tc4
Method: DFT, GGA-PBE
State: relaxed Values from VASP.

```
&SYSTEM
  ibrav = 0, nat = 9, ntyp = 3
/
ATOMIC_SPECIES
Tc 98.00 Tc.upf
Pa 231.04 Pa.upf
Pu 244.00 Pu.upf
CELL_PARAMETERS angstrom
-0.849 2.059 -3.659
3.076 -4.655 -0.826
-7.806 -3.342 -0.069
ATOMIC_POSITIONS crystal
Tc 0.701 0.401 0.095
Tc 0.054 0.107 0.655
Pa 0.631 0.262 0.395
Pu 0.691 0.381 0.760
Pu 0.309 0.619 0.240
Tc 0.299 0.599 0.905
Pa 0.000 0.000 0.000
Tc 0.946 0.893 0.345
Pa 0.369 0.738 0.605
```

Properties
DOS at the Fermi energy ... 14.5 states/eV/f.u.
E_tot ... -10.98 eV/atom
Calculated formation energy ... -0.225 eV per formula unit
SG ... No. 12

=====

Material: PuPa3Tc4
Method: DFT, GGA-PBE
State: relaxed Values from VASP.

```
&SYSTEM
  ibrav = 0, nat = 8, ntyp = 3
/
ATOMIC_SPECIES
Tc 98.00 Tc.upf
Pa 231.04 Pa.upf
Pu 244.00 Pu.upf
CELL_PARAMETERS angstrom
4.645 0.000 1.371
2.120 4.133 1.371
0.038 0.023 8.425
ATOMIC_POSITIONS crystal
Tc 0.870 0.870 0.390
Pa 0.500 0.500 0.500
Pu 0.000 0.000 0.000
Pa 0.255 0.255 0.236
Tc 0.612 0.612 0.165
Pa 0.745 0.745 0.764
Tc 0.130 0.130 0.610
Tc 0.388 0.388 0.835
```

Properties
DOS at the Fermi energy ... 13.9 states/eV/f.u.
E_tot ... -10.66 eV/atom
ΔE to the lowest computed polymorph ... 0.0000 eV per atom
Calculated formation energy ... -1.033 eV per formula unit
SG ... No. 166